(1)
Entry from Alexandria via LeMat-Bulk: crystalline LaSBr2 at its relaxed geometry (GGA-PBE). Values from VASP.

Values from the calculation:
Energy above the lowest structure with this stoichiometry, eV/f.u.: 0.12
E_form (uncorrected), eV per atom: -1.447
Calculated total energy, eV per atom: -4.5472

Structure (Quantum ESPRESSO input):
```
&SYSTEM
  ibrav = 0, nat = 8, ntyp = 3
/
ATOMIC_SPECIES
S 32.06 S.upf
Br 79.90 Br.upf
La 138.91 La.upf
ATOMIC_POSITIONS angstrom
S -1.833 -1.254 -0.447
S 0.906 -4.819 1.042
Br -2.819 -3.663 0.847
Br -0.081 -7.227 2.336
Br 1.762 -2.929 4.088
Br 1.730 -2.185 -0.588
La -0.349 -2.329 1.764
La 2.389 -5.893 3.253
CELL_PARAMETERS angstrom
-5.436 -3.375 -1.630
2.707 -2.821 -3.188
2.770 -4.309 6.166
```


(2)
Entry from Alexandria via LeMat-Bulk: crystalline LaSBr2 at its relaxed geometry (GGA-PBE). Values from VASP.

Values from the calculation:
Energy above the lowest structure with this stoichiometry, eV/f.u.: 1.52
E_form (uncorrected), eV per atom: -1.097
Calculated total energy, eV per atom: -4.1970

Structure (Quantum ESPRESSO input):
```
&SYSTEM
  ibrav = 0, nat = 8, ntyp = 3
/
ATOMIC_SPECIES
S 32.06 S.upf
Br 79.90 Br.upf
La 138.91 La.upf
ATOMIC_POSITIONS angstrom
S 2.328 2.328 0.000
S 2.328 4.656 5.188
Br 3.525 1.164 2.594
Br 1.131 3.492 2.594
Br 3.492 3.459 7.782
Br 5.820 5.853 7.782
La 0.000 0.000 0.000
La 4.656 2.328 5.188
CELL_PARAMETERS angstrom
4.656 0.000 0.000
0.000 4.656 0.000
2.328 2.328 10.376
```


(3)
Entry from Alexandria via LeMat-Bulk: crystalline LaS2Br at its relaxed geometry (GGA-PBE). Values from VASP.

Values from the calculation:
Energy above the lowest structure with this stoichiometry, eV/f.u.: 1.85
E_form (uncorrected), eV per atom: -0.812
Calculated total energy, eV per atom: -4.5254

Structure (Quantum ESPRESSO input):
```
&SYSTEM
  ibrav = 0, nat = 4, ntyp = 3
/
ATOMIC_SPECIES
S 32.06 S.upf
Br 79.90 Br.upf
La 138.91 La.upf
ATOMIC_POSITIONS angstrom
S 1.798 1.798 1.798
S 5.393 5.393 5.393
Br 0.000 0.000 0.000
La 3.596 3.596 3.596
CELL_PARAMETERS angstrom
0.000 3.596 3.596
3.596 0.000 3.596
3.596 3.596 0.000
```


(4)
Entry from Alexandria via LeMat-Bulk: crystalline La4S3Br at its relaxed geometry (GGA-PBE). Values from VASP.

Values from the calculation:
E_form (uncorrected), eV per atom: -1.897
Calculated total energy, eV per atom: -6.1179

Structure (Quantum ESPRESSO input):
```
&SYSTEM
  ibrav = 0, nat = 8, ntyp = 3
/
ATOMIC_SPECIES
S 32.06 S.upf
Br 79.90 Br.upf
La 138.91 La.upf
ATOMIC_POSITIONS angstrom
S -1.043 -7.066 1.334
S -0.537 -3.635 0.686
S -1.550 -10.496 1.982
Br 0.000 0.000 0.000
La -4.109 -11.821 1.888
La -3.113 -5.076 0.614
La -1.753 -1.488 2.178
La -2.749 -8.234 3.452
CELL_PARAMETERS angstrom
-0.579 0.837 3.981
-3.196 -0.016 -2.582
-2.087 -14.131 2.668
```


(5)
Entry from Alexandria via LeMat-Bulk: crystalline LaSBr2 at its relaxed geometry (GGA-PBE). Values from VASP.

Values from the calculation:
Energy above the lowest structure with this stoichiometry, eV/f.u.: 0.00
E_form (uncorrected), eV per atom: -1.477
Calculated total energy, eV per atom: -4.5773

Structure (Quantum ESPRESSO input):
```
&SYSTEM
  ibrav = 0, nat = 4, ntyp = 3
/
ATOMIC_SPECIES
S 32.06 S.upf
Br 79.90 Br.upf
La 138.91 La.upf
ATOMIC_POSITIONS angstrom
S 3.400 3.128 5.292
Br 1.327 1.178 3.017
Br 3.360 5.245 7.303
La 5.461 5.128 5.068
CELL_PARAMETERS angstrom
4.207 0.091 -0.011
2.004 4.907 0.127
0.176 1.623 7.532
```


(6)
Entry from Alexandria via LeMat-Bulk: crystalline LaSBr2 at its relaxed geometry (GGA-PBE). Values from VASP.

Values from the calculation:
Energy above the lowest structure with this stoichiometry, eV/f.u.: 0.61
E_form (uncorrected), eV per atom: -1.324
Calculated total energy, eV per atom: -4.4243

Structure (Quantum ESPRESSO input):
```
&SYSTEM
  ibrav = 0, nat = 4, ntyp = 3
/
ATOMIC_SPECIES
S 32.06 S.upf
Br 79.90 Br.upf
La 138.91 La.upf
ATOMIC_POSITIONS angstrom
S 2.718 0.363 4.862
Br 0.037 0.759 1.724
Br 1.711 2.888 1.725
La -0.566 2.971 3.995
CELL_PARAMETERS angstrom
4.391 -0.007 0.001
-1.023 4.291 -0.002
-1.019 -2.222 7.182
```